1.
32
Lattice="6.897 0.000 0.000 0.000 6.897 0.000 -3.448 -3.448 9.098" Properties=species:S:1:pos:R:3 comment="SCAN Ag6GeSO8, PBEsol geometry" vol_a3_per_cell=433 sg=I4_1/amd dft_energy_ev_per_atom=-17.551 e_form_raw_ev_per_atom=-0.878 pbc="T T T"
Ge 3.448 0.000 4.549
Ge 3.448 3.448 0.000
O 1.976 0.000 3.559
O -1.221 3.448 5.408
O 0.000 4.669 3.691
O 0.000 1.221 0.859
O 0.000 2.227 3.691
O 0.000 1.472 8.108
O 1.221 3.448 5.408
O -2.227 3.448 8.240
O 3.448 1.472 5.539
O 4.921 0.000 3.559
O 3.448 -1.472 5.539
O 0.000 5.676 0.859
O 1.976 3.448 0.990
O 4.921 3.448 0.990
O 0.000 -1.472 8.108
O 2.227 3.448 8.240
Ag 3.448 0.000 8.722
Ag 1.724 1.440 6.824
Ag 3.448 0.000 0.376
Ag 2.008 1.724 2.275
Ag 3.448 3.448 4.173
Ag -1.724 1.440 6.824
Ag 2.008 5.173 2.275
Ag 4.889 5.173 2.275
Ag 0.000 0.000 4.925
Ag -1.724 -1.440 6.824
Ag 1.724 -1.440 6.824
Ag 4.889 1.724 2.275
S 0.000 0.000 0.000
S 0.000 3.448 4.549

---

2.
4
Lattice="-0.554 -1.333 -2.250 -2.192 -1.018 1.143 -2.873 4.191 -1.777" Properties=species:S:1:pos:R:3 comment="SCAN Be2NiRu, PBEsol geometry" vol_a3_per_cell=38 sg=P4/mmm dft_energy_ev_per_atom=-15.336 formation_energy_ev_per_atom=-0.4096 pbc="T T T"
Ni -1.373 -1.176 -0.553
Ru -2.809 0.920 -1.442
Be -0.662 0.966 -0.410
Be -2.211 3.225 -1.367

---

3.
16
Lattice="-2.217 3.161 -3.922 4.086 -3.967 -5.506 -7.247 -2.474 2.102" Properties=species:S:1:pos:R:3 comment="SCAN Zr5Ir2Os, PBEsol geometry" vol_a3_per_cell=300 sg=Amm2 dft_energy_ev_per_atom=-46.760 formation_energy_ev_per_atom=-0.8137 pbc="T T T"
Zr -1.416 -5.843 -3.908
Zr -0.125 0.626 -3.286
Zr -5.126 -0.597 -3.372
Zr -1.360 -1.104 -5.909
Zr -0.254 -2.682 -3.952
Zr -4.020 -2.174 -1.414
Zr -2.857 0.963 -1.470
Zr 3.096 -3.005 -4.171
Zr -0.764 -1.551 -0.818
Zr -3.485 -3.308 -4.557
Ir 1.196 -4.947 -4.662
Ir 1.627 -1.580 -2.193
Ir 1.349 -0.805 -5.273
Ir -1.908 -3.872 -2.042
Os -1.374 -3.871 -6.204
Os -2.373 -0.993 -3.320

---

4.
4
Lattice="2.686 0.000 0.000 1.343 2.326 0.000 1.343 0.775 7.315" Properties=species:S:1:pos:R:3 comment="SCAN LiMoF2, PBEsol geometry" vol_a3_per_cell=46 sg=R-3m dft_energy_ev_per_atom=-12.418 e_form_raw_ev_per_atom=-1.329 pbc="T T T"
F 4.030 2.326 1.661
F 1.343 0.775 5.653
Mo 2.686 1.551 3.657
Li 0.000 0.000 0.000

---

no.,ρ (g cm⁻³)
1,6.753
2,7.674
3,11.408
4,5.117